This record from Alexandria describes a relaxed structure of K2ErMoO4. The functional is PBE+U.

Cell: 5.804 3.403 6.483 Å, 90.00 107.71 90.00°
Space group P2/m (No. 10)
Symmetry-distinct sites (fractional):
K 0.000 0.000 0.000 (multiplicity 1)
K 0.500 0.500 0.000 (multiplicity 1)
Er 0.000 0.500 0.500 (multiplicity 1)
Mo 0.500 0.000 0.500 (multiplicity 1)
O 0.232 0.000 0.686 (multiplicity 2)
O 0.280 0.500 0.318 (multiplicity 2)

VASP energy = -6.4184 eV/atom